Computed, not measured: a geometry-optimized Dy3Er4Ag4 structure at the PBE level of DFT.

abc: 4.9976 7.4708 9.0423
angles: 114.40 106.04 90.00
Sites, in units of the cell vectors:
Er  0.3245  0.1031  0.6491
Er  0.6755  0.4540  0.3509
Er  0.3245  0.5460  0.6491
Er  0.6755  0.8969  0.3509
Ag  0.1965  0.6965  0.3929
Ag  0.8035  0.3035  0.6071
Ag  0.5000  0.1880  0.0000
Ag  0.5000  0.8120  0.0000
Dy  0.0000  0.5000  0.0000
Dy  0.1053  0.1053  0.2105
Dy  0.8947  0.8947  0.7895

Properties
The crystal system is orthorhombic. The calculation puts the formation energy at -0.1109 eV/atom. As for the symmetry: Immm.

---

Computed, not measured: a geometry-optimized NdAl3Ru2 structure at the PBE level of DFT.

abc: 5.7700 6.2288 6.2288
angles: 101.08 90.00 90.00
Sites, in units of the cell vectors:
Ru  0.5000  0.7869  0.2131
Ru  0.5000  0.2131  0.7869
Ru  0.0000  0.2131  0.7869
Ru  0.0000  0.7869  0.2131
Nd  0.7500  0.6457  0.6457
Nd  0.2500  0.3543  0.3543
Al  0.2500  0.9109  0.5393
Al  0.2500  0.9681  0.9681
Al  0.2500  0.5393  0.9109
Al  0.7500  0.0319  0.0319
Al  0.7500  0.4607  0.0891
Al  0.7500  0.0891  0.4607

Properties
The crystal system is orthorhombic. The calculation puts the formation energy at -0.5539 eV/atom. As for the symmetry: Cmcm.